[1]
DFT (GGA-PBE) results for crystalline HfThIn at its relaxed geometry.

## Properties
**Energy of formation**: 0.0576 eV/atom
**DFT total energy**: -19.94 eV per cell

a b c (Å): 5.2316 5.2316 3.3697
angles (deg): 90.00 90.00 120.00
Space group P3m1 (No. 156)
Unique sites:
Hf 0.0000 0.0000 0.0000 x1
Th 0.6667 0.3333 0.4993 x1
In 0.3333 0.6667 0.9984 x1



[2]
DFT (GGA-PBE) results for crystalline HfTh4In3 at its relaxed geometry.

## Properties
**Energy of formation**: -0.1096 eV/atom
**DFT total energy**: -48.73 eV per cell

a b c (Å): 3.5137 5.7099 11.4984
angles (deg): 90.00 90.00 90.00
Space group Pmmm (No. 47)
Unique sites:
Hf 0.0000 0.0000 0.0000 x1
Th 0.5000 0.0000 0.2494 x2
Th 0.5000 0.5000 0.0000 x1
Th 0.5000 0.5000 0.5000 x1
In 0.0000 0.0000 0.5000 x1
In 0.0000 0.5000 0.2473 x2



[3]
DFT (GGA-PBE) results for crystalline Hf4ThIn6 at its relaxed geometry.

## Properties
**Energy of formation**: 0.2041 eV/atom
**DFT total energy**: -122.84 eV per cell

a b c (Å): 7.3949 7.3949 11.1655
angles (deg): 90.00 90.00 90.00
Space group I-42m (No. 121)
Unique sites:
Hf 0.1455 0.1455 0.4098 x8
Th 0.0000 0.0000 0.0000 x2
In 0.0000 0.5000 0.0000 x4
In 0.2357 0.2357 0.6760 x8



[4]
DFT (GGA-PBE) results for crystalline HfThIn2 at its relaxed geometry.

## Properties
**Energy of formation**: -0.0741 eV/atom
**DFT total energy**: -69.44 eV per cell

a b c (Å): 3.3095 3.3095 32.2474
angles (deg): 90.00 90.00 120.00
Space group R-3m (No. 166, hexagonal axes)
Unique sites:
Hf 0.0000 0.0000 0.0000 x3
Th 0.0000 0.0000 0.5000 x3
In 0.0000 0.0000 0.2557 x6



[5]
DFT (GGA-PBE) results for crystalline HfTh6In10 at its relaxed geometry.

## Properties
**Energy of formation**: -0.1554 eV/atom
**DFT total energy**: -84.50 eV per cell

a b c (Å): 9.3686 9.3686 6.3813
angles (deg): 90.00 90.00 120.00
Space group P-31m (No. 162)
Unique sites:
Hf 0.0000 0.0000 0.0000 x1
Th 0.0000 0.3867 0.7750 x6
In 0.0000 0.2517 0.2982 x6
In 0.3333 0.6667 0.0000 x2
In 0.3333 0.6667 0.5000 x2



[6]
DFT (GGA-PBE) results for crystalline Hf2ThIn at its relaxed geometry.

## Properties
**Energy of formation**: 0.2806 eV/atom
**DFT total energy**: -86.83 eV per cell

a b c (Å): 3.1974 3.1974 34.0072
angles (deg): 90.00 90.00 120.00
Space group R-3m (No. 166, hexagonal axes)
Unique sites:
Hf 0.0000 0.0000 0.0918 x6
Th 0.0000 0.0000 0.0000 x3
In 0.0000 0.0000 0.5000 x3



[7]
DFT (GGA-PBE) results for crystalline HfThIn2 at its relaxed geometry.

## Properties
**Energy of formation**: -0.1404 eV/atom
**DFT total energy**: -23.41 eV per cell

a b c (Å): 4.6675 4.6675 4.6864
angles (deg): 90.00 90.00 90.00
Space group P4/mmm (No. 123)
Unique sites:
Hf 0.0000 0.0000 0.0000 x1
Th 0.5000 0.5000 0.0000 x1
In 0.0000 0.5000 0.5000 x2



[8]
DFT (GGA-PBE) results for crystalline Hf2ThIn at its relaxed geometry.

## Properties
**Energy of formation**: 0.0256 eV/atom
**DFT total energy**: -29.96 eV per cell

a b c (Å): 3.6720 3.6720 7.2286
angles (deg): 90.00 90.00 90.00
Space group P4/mmm (No. 123)
Unique sites:
Hf 0.0000 0.0000 0.2266 x2
Th 0.5000 0.5000 0.5000 x1
In 0.5000 0.5000 0.0000 x1



[9]
DFT (GGA-PBE) results for crystalline HfThIn at its relaxed geometry.

## Properties
**Energy of formation**: 0.3698 eV/atom
**DFT total energy**: -152.02 eV per cell

a b c (Å): 8.9871 10.5450 7.9625
angles (deg): 90.00 90.00 90.00
Space group Cmce (No. 64)
Unique sites:
Hf 0.0000 0.0583 0.1633 x8
Th 0.1874 0.0000 0.5000 x8
In 0.0000 0.2124 0.8513 x8



[10]
DFT (GGA-PBE) results for crystalline Hf3Th5In12 at its relaxed geometry.

## Properties
**Energy of formation**: 0.5450 eV/atom
**DFT total energy**: -711.36 eV per cell

a b c (Å): 17.6432 17.6432 17.6432
angles (deg): 90.00 90.00 90.00
Space group Ia-3d (No. 230)
Unique sites:
Hf 0.0000 0.2500 0.1250 x24
Th 0.0000 0.0000 0.0000 x16
Th 0.0000 0.2500 0.3750 x24
In 0.0000 0.0818 0.1548 x96



[11]
DFT (GGA-PBE) results for crystalline HfThIn at its relaxed geometry.

## Properties
**Energy of formation**: -0.0594 eV/atom
**DFT total energy**: -40.58 eV per cell

a b c (Å): 3.2887 3.2887 14.4198
angles (deg): 90.00 90.00 90.00
Space group I4mm (No. 107)
Unique sites:
Hf 0.0000 0.0000 0.0000 x2
Th 0.0000 0.0000 0.6686 x2
In 0.0000 0.0000 0.3491 x2



[12]
DFT (GGA-PBE) results for crystalline Hf2ThIn at its relaxed geometry.

## Properties
**Energy of formation**: -0.0491 eV/atom
**DFT total energy**: -30.26 eV per cell

a b c (Å): 4.7146 4.7146 4.4028
angles (deg): 90.00 90.00 90.00
Space group P4/mmm (No. 123)
Unique sites:
Hf 0.0000 0.5000 0.0000 x2
Th 0.0000 0.0000 0.5000 x1
In 0.5000 0.5000 0.5000 x1